No. 1
La2Sm2Sb2H after structural relaxation. Source: Alexandria via LeMat-Bulk, functional PBE-GGA.

Unit cell a=9.4195 b=9.4195 c=9.4195 alpha=151.34 beta=151.34 gamma=40.97
Fractional coordinates of all 7 atoms:
La  0.1781  0.1781  0.0000
La  0.8219  0.8219  0.0000
Sm  0.0000  0.5000  0.5000
Sm  0.5000  0.0000  0.5000
Sb  0.3669  0.3669  0.0000
Sb  0.6331  0.6331  0.0000
H  0.0000  0.0000  0.0000

Output
As for the electronic total energy: -5.28 eV per atom.


No. 2
Sr2La4Sb3H2 after structural relaxation. Source: Alexandria via LeMat-Bulk, functional PBE-GGA.

Unit cell a=13.6665 b=13.6665 c=13.6665 alpha=159.10 beta=159.10 gamma=29.73
Fractional coordinates of all 11 atoms:
Sr  0.1996  0.1996  0.0000
Sr  0.8004  0.8004  0.0000
La  0.0805  0.5805  0.5000
La  0.4195  0.9195  0.5000
La  0.5805  0.0805  0.5000
La  0.9195  0.4195  0.5000
Sb  0.3288  0.3288  0.0000
Sb  0.5000  0.5000  0.0000
Sb  0.6712  0.6712  0.0000
H  0.0992  0.0992  0.0000
H  0.9008  0.9008  0.0000

Output
As for the electronic total energy: -4.67 eV per atom.


No. 3
LaTaSb2H after structural relaxation. Source: Alexandria via LeMat-Bulk, functional PBE-GGA.

Unit cell a=4.9855 b=4.9855 c=4.1511 alpha=90.00 beta=90.00 gamma=90.00
Fractional coordinates of all 5 atoms:
La  0.0000  0.0000  0.0000
Ta  0.5000  0.5000  0.0000
Sb  0.0000  0.5000  0.5000
Sb  0.5000  0.0000  0.5000
H  0.0000  0.0000  0.5000

Output
As for the electronic total energy: -5.57 eV per atom.


Number 1: Fermi-level density of states 8.72 states/eV/cell, total magnetic moment 0.119 μB/atom. Number 2: Fermi-level density of states 7.45 states/eV/cell, total magnetic moment 0.000 μB/atom. Number 3: Fermi-level density of states 6.16 states/eV/cell, total magnetic moment 0.000 μB/atom.